(1)
Material: NaPm2Au3
Method: DFT, PBE
State: relaxed

Geometry as CIF:
```
data_NaPm2Au3
_chemical_formula_sum 'Na1 Pm2 Au3'
_cell_length_a 3.673
_cell_length_b 3.673
_cell_length_c 10.936
_cell_angle_alpha 90.00
_cell_angle_beta 90.00
_cell_angle_gamma 90.00
_space_group_name_H-M_alt 'P 1'
_space_group_IT_number 1
loop_
_space_group_symop_operation_xyz
'x,y,z'
loop_
_atom_site_label
_atom_site_fract_x
_atom_site_fract_y
_atom_site_fract_z
Na1 0.000 0.000 0.000
Pm1 0.000 0.000 0.326
Pm2 0.000 0.000 0.674
Au1 0.500 0.500 0.175
Au2 0.500 0.500 0.500
Au3 0.500 0.500 0.825
```

Final energy = -4.071 eV per atom
ρ = 10.18 g/cm³
Space group = P4/mmm (123)
Energy above the most stable polymorph in this dataset = 0.0338 eV/atom
Formation energy from the elements = -629 meV/atom

(2)
Material: K4Rb5Tl2
Method: DFT, PBE
State: relaxed

Geometry as CIF:
```
data_K4Rb5Tl2
_chemical_formula_sum 'K4 Rb5 Tl2'
_cell_length_a 12.694
_cell_length_b 12.694
_cell_length_c 12.388
_cell_angle_alpha 98.15
_cell_angle_beta 98.15
_cell_angle_gamma 22.85
_space_group_name_H-M_alt 'P 1'
_space_group_IT_number 1
loop_
_space_group_symop_operation_xyz
'x,y,z'
loop_
_atom_site_label
_atom_site_fract_x
_atom_site_fract_y
_atom_site_fract_z
K1 0.001 0.001 0.321
K2 0.372 0.372 0.457
K3 0.628 0.628 0.543
K4 0.999 0.999 0.679
Rb1 0.175 0.175 0.245
Rb2 0.175 0.175 0.859
Rb3 0.500 0.500 0.000
Rb4 0.825 0.825 0.141
Rb5 0.825 0.825 0.755
Tl1 0.237 0.237 0.567
Tl2 0.763 0.763 0.433
```

Final energy = -1.291 eV per atom
ρ = 2.15 g/cm³
Space group = C2/m (12)
Formation energy from the elements = -21 meV/atom

(3)
Material: Dy5In4H
Method: DFT, PBE
State: relaxed

Geometry as CIF:
```
data_Dy5In4H
_chemical_formula_sum 'Dy5 In4 H1'
_cell_length_a 7.291
_cell_length_b 7.291
_cell_length_c 7.291
_cell_angle_alpha 98.33
_cell_angle_beta 98.33
_cell_angle_gamma 135.26
_space_group_name_H-M_alt 'P 1'
_space_group_IT_number 1
loop_
_space_group_symop_operation_xyz
'x,y,z'
loop_
_atom_site_label
_atom_site_fract_x
_atom_site_fract_y
_atom_site_fract_z
Dy1 0.000 0.000 0.000
Dy2 0.296 0.639 0.934
Dy3 0.362 0.296 0.657
Dy4 0.639 0.705 0.343
Dy5 0.705 0.362 0.066
In1 0.031 0.342 0.372
In2 0.342 0.970 0.311
In3 0.659 0.031 0.689
In4 0.970 0.659 0.628
H1 0.591 0.591 0.000
```

Final energy = -3.987 eV per atom
ρ = 8.38 g/cm³
Space group = I4 (79)

(4)
Material: NaDyTlPb
Method: DFT, PBE
State: relaxed

Geometry as CIF:
```
data_NaDyTlPb
_chemical_formula_sum 'Na1 Dy1 Tl1 Pb1'
_cell_length_a 5.393
_cell_length_b 5.393
_cell_length_c 5.393
_cell_angle_alpha 60.00
_cell_angle_beta 60.00
_cell_angle_gamma 60.00
_space_group_name_H-M_alt 'P 1'
_space_group_IT_number 1
loop_
_space_group_symop_operation_xyz
'x,y,z'
loop_
_atom_site_label
_atom_site_fract_x
_atom_site_fract_y
_atom_site_fract_z
Na1 0.000 0.000 0.000
Dy1 0.500 0.500 0.500
Tl1 0.750 0.750 0.750
Pb1 0.250 0.250 0.250
```

Final energy = -3.241 eV per atom
ρ = 8.94 g/cm³
Space group = F-43m (216)
Energy above the most stable polymorph in this dataset = 0.0366 eV/atom
Formation energy from the elements = -242 meV/atom

(5)
Material: KHf2B
Method: DFT, PBE
State: relaxed

Geometry as CIF:
```
data_KHf2B
_chemical_formula_sum 'K2 Hf4 B2'
_cell_length_a 7.131
_cell_length_b 7.131
_cell_length_c 7.131
_cell_angle_alpha 120.49
_cell_angle_beta 120.49
_cell_angle_gamma 89.15
_space_group_name_H-M_alt 'P 1'
_space_group_IT_number 1
loop_
_space_group_symop_operation_xyz
'x,y,z'
loop_
_atom_site_label
_atom_site_fract_x
_atom_site_fract_y
_atom_site_fract_z
K1 0.000 0.000 0.000
K2 0.750 0.250 0.500
Hf1 0.347 0.625 0.222
Hf2 0.375 0.597 0.722
Hf3 0.403 0.125 0.778
Hf4 0.875 0.653 0.278
B1 0.250 0.750 0.500
B2 0.500 0.500 0.000
```

Final energy = -5.941 eV per atom
ρ = 5.31 g/cm³
Space group = I-42d (122)
Formation energy from the elements = 980 meV/atom

(6)
Material: Cs2InNiIr
Method: DFT, PBE
State: relaxed

Geometry as CIF:
```
data_Cs2InNiIr
_chemical_formula_sum 'Cs2 In1 Ni1 Ir1'
_cell_length_a 6.522
_cell_length_b 6.522
_cell_length_c 4.518
_cell_angle_alpha 90.00
_cell_angle_beta 90.00
_cell_angle_gamma 90.00
_space_group_name_H-M_alt 'P 1'
_space_group_IT_number 1
loop_
_space_group_symop_operation_xyz
'x,y,z'
loop_
_atom_site_label
_atom_site_fract_x
_atom_site_fract_y
_atom_site_fract_z
Cs1 0.000 0.500 0.000
Cs2 0.500 0.000 0.000
In1 0.000 0.000 0.500
Ni1 0.500 0.500 0.000
Ir1 0.500 0.500 0.500
```

Final energy = -2.989 eV per atom
ρ = 5.46 g/cm³
Space group = P4/mmm (123)
Formation energy from the elements = 829 meV/atom

(7)
Material: RbCaHf2
Method: DFT, PBE
State: relaxed

Geometry as CIF:
```
data_RbCaHf2
_chemical_formula_sum 'Rb1 Ca1 Hf2'
_cell_length_a 5.592
_cell_length_b 5.592
_cell_length_c 5.592
_cell_angle_alpha 60.00
_cell_angle_beta 60.00
_cell_angle_gamma 60.00
_space_group_name_H-M_alt 'P 1'
_space_group_IT_number 1
loop_
_space_group_symop_operation_xyz
'x,y,z'
loop_
_atom_site_label
_atom_site_fract_x
_atom_site_fract_y
_atom_site_fract_z
Rb1 0.000 0.000 0.000
Ca1 0.500 0.500 0.500
Hf1 0.250 0.250 0.250
Hf2 0.750 0.750 0.750
```

Final energy = -4.306 eV per atom
ρ = 6.48 g/cm³
Space group = Fm-3m (225)
Energy above the most stable polymorph in this dataset = 0.0000 eV/atom
Formation energy from the elements = 1413 meV/atom

(8)
Material: MnMoIr4
Method: DFT, PBE
State: relaxed

Geometry as CIF:
```
data_MnMoIr4
_chemical_formula_sum 'Mn1 Mo1 Ir4'
_cell_length_a 4.747
_cell_length_b 4.747
_cell_length_c 7.676
_cell_angle_alpha 113.90
_cell_angle_beta 113.90
_cell_angle_gamma 33.35
_space_group_name_H-M_alt 'P 1'
_space_group_IT_number 1
loop_
_space_group_symop_operation_xyz
'x,y,z'
loop_
_atom_site_label
_atom_site_fract_x
_atom_site_fract_y
_atom_site_fract_z
Mn1 0.000 0.000 0.000
Mo1 0.000 0.000 0.500
Ir1 0.333 0.333 0.672
Ir2 0.337 0.337 0.164
Ir3 0.663 0.663 0.836
Ir4 0.667 0.667 0.328
```

Final energy = -9.394 eV per atom
ρ = 17.72 g/cm³
Space group = C2/m (12)
Energy above the most stable polymorph in this dataset = 0.0000 eV/atom
Formation energy from the elements = -153 meV/atom

(9)
Material: RbPuH2
Method: DFT, PBE
State: relaxed

Geometry as CIF:
```
data_RbPuH2
_chemical_formula_sum 'Rb1 Pu1 H2'
_cell_length_a 3.193
_cell_length_b 3.193
_cell_length_c 7.037
_cell_angle_alpha 90.00
_cell_angle_beta 90.00
_cell_angle_gamma 90.00
_space_group_name_H-M_alt 'P 1'
_space_group_IT_number 1
loop_
_space_group_symop_operation_xyz
'x,y,z'
loop_
_atom_site_label
_atom_site_fract_x
_atom_site_fract_y
_atom_site_fract_z
Rb1 0.000 0.000 0.000
Pu1 0.000 0.000 0.500
H1 0.500 0.500 0.316
H2 0.500 0.500 0.684
```

Final energy = -5.360 eV per atom
ρ = 7.67 g/cm³
Space group = P4/mmm (123)
Energy above the most stable polymorph in this dataset = 0.1224 eV/atom

(10)
Material: NiTe2As
Method: DFT, PBE
State: relaxed

Geometry as CIF:
```
data_NiTe2As
_chemical_formula_sum 'Ni1 Te2 As1'
_cell_length_a 4.909
_cell_length_b 4.909
_cell_length_c 4.909
_cell_angle_alpha 110.51
_cell_angle_beta 110.51
_cell_angle_gamma 107.42
_space_group_name_H-M_alt 'P 1'
_space_group_IT_number 1
loop_
_space_group_symop_operation_xyz
'x,y,z'
loop_
_atom_site_label
_atom_site_fract_x
_atom_site_fract_y
_atom_site_fract_z
Ni1 0.000 0.000 0.000
Te1 0.000 0.500 0.500
Te2 0.500 0.000 0.500
As1 0.500 0.500 0.000
```

Raw formation energy = 0.195 eV/atom
Final energy = -3.984 eV per atom
ρ = 7.10 g/cm³
Space group = I4/mmm (139)

(11)
Material: CoAgBr2
Method: DFT, PBE
State: relaxed

Geometry as CIF:
```
data_CoAgBr2
_chemical_formula_sum 'Co1 Ag1 Br2'
_cell_length_a 3.729
_cell_length_b 3.729
_cell_length_c 7.386
_cell_angle_alpha 102.64
_cell_angle_beta 102.64
_cell_angle_gamma 59.98
_space_group_name_H-M_alt 'P 1'
_space_group_IT_number 1
loop_
_space_group_symop_operation_xyz
'x,y,z'
loop_
_atom_site_label
_atom_site_fract_x
_atom_site_fract_y
_atom_site_fract_z
Co1 0.000 0.000 0.000
Ag1 0.500 0.500 0.500
Br1 0.278 0.278 0.794
Br2 0.722 0.722 0.206
```

Raw formation energy = 0.060 eV/atom
Final energy = -3.265 eV per atom
ρ = 6.30 g/cm³
Space group = C2/m (12)
Energy above the most stable polymorph in this dataset = 0.0640 eV/atom

(12)
Material: LaUN2
Method: DFT, PBE
State: relaxed

Geometry as CIF:
```
data_LaUN2
_chemical_formula_sum 'La1 U1 N2'
_cell_length_a 3.047
_cell_length_b 3.047
_cell_length_c 6.166
_cell_angle_alpha 90.00
_cell_angle_beta 90.00
_cell_angle_gamma 90.00
_space_group_name_H-M_alt 'P 1'
_space_group_IT_number 1
loop_
_space_group_symop_operation_xyz
'x,y,z'
loop_
_atom_site_label
_atom_site_fract_x
_atom_site_fract_y
_atom_site_fract_z
La1 0.000 0.000 0.000
U1 0.000 0.000 0.500
N1 0.500 0.500 0.274
N2 0.500 0.500 0.726
```

Raw formation energy = -0.702 eV/atom
Final energy = -8.919 eV per atom
ρ = 11.75 g/cm³
Space group = P4/mmm (123)